Below is a relaxed ZrRh3 crystal, with properties calculated at the PBE-GGA level.

abc: 2.8364 4.5967 5.0346
angles: 90.00 101.03 90.00
Last column: nearest neighbours and their distance in Å.
Space group P2/m (No. 10)
Inequivalent atoms, fractional coordinates:
Zr: 0.0000 0.0000 0.0000  6 Rh 2.64-2.92, 2 Zr 2.84
Rh: 0.3382 0.5000 0.7300  7 Rh 2.65-2.84, 2 Zr 2.92
Rh: 0.5000 0.0000 0.5000  2 Zr 2.64, 6 Rh 2.65-2.84

Results
Its volume is 64.4 Å³/f.u. Its total energy is -7.94 eV/atom. Its density of states at the Fermi level is 3.829 states/eV per cell.


Below is a relaxed CsRbZnAs crystal, with properties calculated at the PBE-GGA level.

abc: 13.1599 4.3672 9.4946
angles: 90.00 132.83 90.00
Last column: nearest neighbours and their distance in Å.
Space group Cm (No. 8)
Inequivalent atoms, fractional coordinates:
Cs: 0.0000 0.0000 0.0000  3 As 3.76-3.93, 3 Zn 3.84-3.86
Rb: 0.0102 0.5000 0.5072  3 As 3.63-3.73, 3 Zn 3.66-3.68
Zn: 0.2593 0.5000 0.4508  2 As 2.44
As: 0.2561 0.0000 0.5633  2 Zn 2.44

Results
Its volume is 200.1 Å³/f.u. For the energy above the most stable polymorph in this dataset, the calculation gives 54.6 meV/atom. Its density of states at the Fermi level is 4.445 states/eV per cell.


Below is a relaxed Tb2Pr2Sm crystal, with properties calculated at the PBE-GGA level.

abc: 16.0995 6.3703 6.9183
angles: 90.00 104.62 90.00
Last column: nearest neighbours and their distance in Å.
Space group C2/c (No. 15)
Inequivalent atoms, fractional coordinates:
Tb: 0.0978 0.0819 0.4506  4 Tb 3.54-3.63, 3 Sm 3.60-3.67, 5 Pr 3.65-3.70
Pr: 0.1998 0.4161 0.1500  2 Sm 3.62-3.68, 5 Pr 3.62-3.68, 5 Tb 3.65-3.70
Sm: 0.0000 0.4167 0.7500  6 Tb 3.60-3.67, 4 Pr 3.62-3.68, 2 Sm 3.62

Results
Its volume is 171.6 Å³/f.u. For the energy above the most stable polymorph in this dataset, the calculation gives 0.0 meV/atom. Its density of states at the Fermi level is 34.289 states/eV per cell.


Below is a relaxed K2CdSn2 crystal, with properties calculated at the PBE-GGA level.

abc: 4.8026 4.8026 15.4553
angles: 90.00 90.00 90.00
Last column: nearest neighbours and their distance in Å.
Space group I4/mmm (No. 139)
Inequivalent atoms, fractional coordinates:
K: 0.0000 0.5000 0.2500  4 K 3.40, 4 Sn 3.48
Cd: 0.0000 0.0000 0.0000  8 Sn 3.65
Sn: 0.0000 0.0000 0.4131  1 Sn 2.69

Results
Its volume is 178.2 Å³/f.u. For the energy above the most stable polymorph in this dataset, the calculation gives 349.3 meV/atom. Its density of states at the Fermi level is 3.245 states/eV per cell.


Below is a relaxed Tb6Ce2Nd3Sm crystal, with properties calculated at the PBE-GGA level.

abc: 6.2245 10.7845 11.8345
angles: 90.00 100.11 90.00
Last column: nearest neighbours and their distance in Å.
Space group C2/m (No. 12)
Inequivalent atoms, fractional coordinates:
Tb: 0.2463 0.0000 0.2462  2 Ce 3.54, 1 Sm 3.55, 6 Tb 3.58-3.62, 3 Nd 3.60-3.61
Tb: 0.2497 0.1680 0.7539  2 Ce 3.53-3.54, 1 Sm 3.55, 6 Tb 3.58-3.62, 3 Nd 3.61-3.62
Ce: 0.0000 0.1666 0.0000  6 Tb 3.53-3.54, 3 Sm 3.59-3.60, 3 Ce 3.59
Nd: 0.0000 0.0000 0.5000  6 Nd 3.59-3.60, 6 Tb 3.60-3.62
Nd: 0.0000 0.3339 0.5000  6 Nd 3.58-3.60, 6 Tb 3.61-3.62
Sm: 0.0000 0.5000 0.0000  6 Tb 3.55, 6 Ce 3.59-3.60

Results
Its volume is 391.1 Å³/f.u. Its total energy is -4.84 eV/atom. Its density of states at the Fermi level is 42.569 states/eV per cell.


Below is a relaxed Ni3OsS crystal, with properties calculated at the PBE-GGA level.

abc: 4.5053 4.5053 4.5053
angles: 90.00 90.00 90.00
Last column: nearest neighbours and their distance in Å.
Space group Pm-3m (No. 221)
Inequivalent atoms, fractional coordinates:
Ni: 0.0000 0.0000 0.5000  2 Os 2.25
Os: 0.0000 0.0000 0.0000  6 Ni 2.25
S: 0.5000 0.5000 0.5000  12 Ni 3.19

Results
Its volume is 91.4 Å³/f.u. For the energy above the most stable polymorph in this dataset, the calculation gives 895.9 meV/atom. Its density of states at the Fermi level is 8.193 states/eV per cell. The formation energy without anion corrections is 1.542 eV per atom.